A plane-wave DFT calculation with PBE was carried out for a relaxed Pm5Tm4Sc crystal.

Size of the total moment   0.0 Bohr magnetons per cell
Total DFT energy (no corrections)   -4.581 eV per atom
Distance to the lowest polymorph of the same formula   127 meV/atom

```
Pm5Tm4Sc
1.0
9.009 -2.414 0.000
9.009 2.414 0.000
-3.921 0.000 7.729
Pm Tm Sc
5 4 1
Direct
0.000 0.000 0.000
0.332 0.332 0.880
0.337 0.337 0.286
0.663 0.663 0.714
0.668 0.668 0.120
0.176 0.176 0.429
0.469 0.469 0.708
0.531 0.531 0.292
0.824 0.824 0.571
0.000 0.000 0.500
```